Entry from Alexandria: a relaxed structure of La2MnPb (PBE-GGA).

abc: 9.534 9.534 9.534
angles: 23.62 23.62 23.62
Atoms (fractional coordinates):
La 0.989 0.989 0.989
La 0.511 0.511 0.511
Mn 0.250 0.250 0.250
Pb 0.750 0.750 0.750

Results
For the total energy, the calculation gives -22.35 eV/cell. As for the symmetry: R-3m. As for the crystal system: trigonal. As for the spin magnetization: 2.83 μB per cell. The energy relative to the elements comes out at 96 meV/atom.